# 1
# Y12Tm3Sc

An optimized crystal structure of Y12Tm3Sc (GGA-PBE, Alexandria).

**Uncorrected energy**: -0.445 Ry/atom

Geometry as POSCAR:
```
Y12Tm3Sc
1.0
5.005 0.000 0.000
0.000 5.005 0.000
0.000 0.000 20.002
Y Tm Sc
12 3 1
direct
0.000 0.000 0.000
0.000 0.000 0.248
0.000 0.000 0.500
0.000 0.000 0.752
0.000 0.500 0.122
0.000 0.500 0.374
0.000 0.500 0.626
0.000 0.500 0.878
0.500 0.000 0.122
0.500 0.000 0.374
0.500 0.000 0.626
0.500 0.000 0.878
0.500 0.500 0.248
0.500 0.500 0.500
0.500 0.500 0.752
0.500 0.500 0.000
```

# 2
# Y7Tm12Sc

An optimized crystal structure of Y7Tm12Sc (GGA-PBE, Alexandria).

**Uncorrected energy**: -0.369 Ry/atom

Geometry as POSCAR:
```
Y7Tm12Sc
1.0
5.931 3.424 5.221
-5.931 3.424 5.221
0.000 -6.849 5.221
Y Tm Sc
7 12 1
direct
0.000 0.000 0.000
0.147 0.605 0.497
0.395 0.503 0.853
0.497 0.147 0.605
0.503 0.853 0.395
0.605 0.497 0.147
0.853 0.395 0.503
0.073 0.395 0.149
0.145 0.268 0.744
0.149 0.073 0.395
0.256 0.855 0.732
0.268 0.744 0.145
0.395 0.149 0.073
0.605 0.851 0.927
0.732 0.256 0.855
0.744 0.145 0.268
0.851 0.927 0.605
0.855 0.732 0.256
0.927 0.605 0.851
0.500 0.500 0.500
```

# 3
# Y3TmSc2

An optimized crystal structure of Y3TmSc2 (GGA-PBE, Alexandria).

**Uncorrected energy**: -0.426 Ry/atom

Geometry as POSCAR:
```
Y3TmSc2
1.0
7.208 -4.844 0.000
7.208 4.844 0.000
0.000 0.000 5.427
Y Tm Sc
6 2 4
direct
0.095 0.905 0.750
0.113 0.377 0.250
0.377 0.113 0.750
0.623 0.887 0.250
0.887 0.623 0.750
0.905 0.095 0.250
0.283 0.717 0.250
0.717 0.283 0.750
0.300 0.490 0.750
0.490 0.300 0.250
0.510 0.700 0.750
0.700 0.510 0.250
```

no.,size of the total moment (μB per formula unit),formation energy (eV per atom)
1,0.00,0.0328
2,0.00,0.2474
3,0.00,0.2981